KScSi2: optimized geometry, PBE.

a = 9.858 Å, b = 9.858 Å, c = 9.858 Å
α = 19.33°, β = 19.33°, γ = 19.33°
Fractional coordinates of all 4 atoms:
1 Si 0.489 0.489 0.489
2 Sc 0.750 0.750 0.750
3 K 0.250 0.250 0.250
4 Si 0.011 0.011 0.011

**Space-group type**: R-3m
**Polymorph energy (0 for the lowest one)**: 426.4 meV/atom
**Total DFT energy (no corrections)**: -17.566 eV per formula unit
**Crystal system**: trigonal
**Uncorrected formation energy**: 177 meV per atom
**Total moment**: 0.00 μB per atom
**DOS(E_F)**: 4.10 states/eV/cell